No. 1
LaTh2Sc3 | the Alexandria database | GGA-PBE | optimized geometry; density = 7.03 g/cm³; E_form = 5.64 kJ per mole of atoms; energy above the most stable polymorph in this dataset = 33 meV per atom; energy = -6.402 eV per atom
1.0
4.930 0.000 0.000
-2.465 7.221 0.000
0.000 0.000 9.786
Sc Th La
6 4 2
direct
0.337 0.675 0.001
0.663 0.325 0.999
0.337 0.675 0.499
0.839 0.679 0.250
0.161 0.321 0.750
0.663 0.325 0.501
0.499 0.998 0.250
0.000 0.000 0.000
0.501 0.002 0.750
0.000 0.000 0.500
0.827 0.655 0.750
0.173 0.345 0.250



No. 2
LaThScTi | the Alexandria database | GGA-PBE | optimized geometry; density = 7.12 g/cm³; E_form = 17.43 kJ per mole of atoms; energy = -6.463 eV per atom
1.0
-0.298 -4.347 -3.100
3.766 -0.920 -3.683
3.476 -4.008 0.673
Th La Ti Sc
1 1 1 1
direct
0.250 0.250 0.250
0.750 0.750 0.750
0.000 0.000 0.000
0.500 0.500 0.500



No. 3
LaTmThSc | the Alexandria database | GGA-PBE | optimized geometry; density = 7.88 g/cm³; E_form = 1.74 kJ per mole of atoms; energy above the most stable polymorph in this dataset = 0 meV per atom; energy = -5.770 eV per atom
1.0
-0.176 -2.133 2.871
3.472 -0.791 -0.375
2.302 7.421 5.656
Th La Sc Tm
1 1 1 1
direct
0.000 0.000 0.562
0.000 0.000 0.081
0.500 0.500 0.332
0.500 0.500 0.810



No. 4
LaTmThSc | the Alexandria database | GGA-PBE | optimized geometry; density = 7.87 g/cm³; E_form = 8.03 kJ per mole of atoms; energy above the most stable polymorph in this dataset = 65 meV per atom; energy = -5.704 eV per atom
1.0
5.587 0.000 0.000
2.794 4.839 0.000
2.794 1.613 4.562
Sc Th La Tm
1 1 1 1
direct
0.000 0.000 0.000
0.750 0.750 0.750
0.250 0.250 0.250
0.500 0.500 0.500



No. 5
LaY2ThSc | the Alexandria database | GGA-PBE | optimized geometry; density = 6.16 g/cm³; E_form = 6.39 kJ per mole of atoms; energy = -6.255 eV per atom
1.0
5.718 0.000 0.000
0.000 9.425 0.942
0.000 -2.660 5.672
Y La Th Sc
4 2 2 2
direct
0.250 0.303 0.077
0.250 0.104 0.460
0.750 0.896 0.540
0.750 0.697 0.923
0.750 0.309 0.735
0.250 0.691 0.265
0.250 0.904 0.876
0.750 0.096 0.124
0.250 0.510 0.657
0.750 0.490 0.343



No. 6
LaY2ThSc4 | the Alexandria database | GGA-PBE | optimized geometry; density = 5.25 g/cm³; E_form = 4.94 kJ per mole of atoms; energy = -6.274 eV per atom
1.0
-4.729 -1.846 -0.241
-0.039 -0.559 5.060
-3.299 7.676 5.944
Sc La Th Y
4 1 1 2
direct
0.000 0.245 0.255
0.500 0.255 0.745
0.000 0.755 0.745
0.500 0.745 0.255
0.500 0.500 0.000
0.000 0.500 0.500
0.500 0.000 0.500
0.000 0.000 0.000